Record 1
# BaFe2Ag (PBE-GGA, relaxed)
data_BaFe2Ag
_cell_length_a 5.9670
_cell_length_b 9.7884
_cell_length_c 3.0846
_cell_angle_alpha 90.00
_cell_angle_beta 114.52
_cell_angle_gamma 90.00
_symmetry_space_group_name_H-M 'C 1 2/m 1'
_symmetry_Int_Tables_number 12
_symmetry_space_group_name_Hall '-C 2y'
loop_
_atom_site_label
_atom_site_type_symbol
_atom_site_fract_x
_atom_site_fract_y
_atom_site_fract_z
_atom_site_occupancy
Ba1 Ba 0.0000 0.0000 0.0000 1
Fe1 Fe 0.2500 0.2500 0.5000 1
Ag1 Ag 0.0000 0.5000 0.0000 1
# - ρ: 7.2 g/cm3
# - Energy relative to the elements: 0.963 eV per atom
# - Total magnetization: 10.02 μB/cell

Record 2
# BaFe2Ag (PBE-GGA, relaxed)
data_BaFe2Ag
_cell_length_a 4.3189
_cell_length_b 4.3189
_cell_length_c 4.4752
_cell_angle_alpha 90.00
_cell_angle_beta 90.00
_cell_angle_gamma 90.00
_symmetry_space_group_name_H-M 'P 4/m m m'
_symmetry_Int_Tables_number 123
_symmetry_space_group_name_Hall '-P 4 2'
loop_
_atom_site_label
_atom_site_type_symbol
_atom_site_fract_x
_atom_site_fract_y
_atom_site_fract_z
_atom_site_occupancy
Ba1 Ba 0.0000 0.0000 0.0000 1
Fe1 Fe 0.0000 0.5000 0.5000 1
Ag1 Ag 0.5000 0.5000 0.0000 1
# - ρ: 7.1 g/cm3
# - Energy relative to the elements: 0.944 eV per atom
# - Total magnetization: 4.54 μB/cell

Record 3
# BaFeAg3 (PBE-GGA, relaxed)
data_BaFeAg3
_cell_length_a 5.0894
_cell_length_b 5.0894
_cell_length_c 5.0894
_cell_angle_alpha 90.00
_cell_angle_beta 90.00
_cell_angle_gamma 90.00
_symmetry_space_group_name_H-M 'P m -3 m'
_symmetry_Int_Tables_number 221
_symmetry_space_group_name_Hall '-P 4 2 3'
loop_
_atom_site_label
_atom_site_type_symbol
_atom_site_fract_x
_atom_site_fract_y
_atom_site_fract_z
_atom_site_occupancy
Ba1 Ba 0.0000 0.0000 0.0000 1
Fe1 Fe 0.5000 0.5000 0.5000 1
Ag1 Ag 0.0000 0.5000 0.5000 1
# - ρ: 6.5 g/cm3
# - Energy relative to the elements: 0.286 eV per atom
# - Total magnetization: 2.91 μB/cell